Ce2PrTm | PBE-GGA | relaxed

abc: 3.3754 3.3754 37.2822
angles: 90.00 90.00 120.00
Closest atoms and distances in Å follow each position.
Space group R-3m (No. 166, hexagonal axes)
Asymmetric unit:
Ce: 0.0000 0.0000 0.0838 [6 per cell]  1 Tm 3.12, 6 Ce 3.38
Pr: 0.0000 0.0000 0.5000 [3 per cell]  6 Pr 3.38, 6 Ce 3.65
Tm: 0.0000 0.0000 0.0000 [3 per cell]  2 Ce 3.12, 6 Tm 3.38

Properties
Crystal system: trigonal
Energy of formation from the pure elements in kJ per mole of atoms: 24
Relative energy among the computed polymorphs in eV/atom: 0.149
DOS(E_F) in states/eV per cell: 31.50
Raw total energy in eV/cell: -60.34

=====

ErTm6Sc | PBE-GGA | relaxed

abc: 6.3955 6.6507 6.6927
angles: 118.60 102.21 92.08
Closest atoms and distances in Å follow each position.
Space group P-1 (No. 2)
Asymmetric unit:
Er: 0.0000 0.0000 0.0000 [1 per cell]  2 Sc 3.20, 4 Tm 3.35-3.39
Tm: 0.2386 0.5791 0.4885 [2 per cell]  6 Tm 3.21-3.54, 1 Sc 3.23
Tm: 0.2516 0.5610 0.0027 [2 per cell]  7 Tm 3.21-3.59, 1 Sc 3.28, 1 Er 3.39
Tm: 0.2728 0.0938 0.5301 [2 per cell]  7 Tm 3.23-3.59, 1 Er 3.35, 1 Sc 3.52
Sc: 0.5000 0.0000 0.0000 [1 per cell]  2 Er 3.20, 6 Tm 3.23-3.52

Properties
Crystal system: triclinic
Energy of formation from the pure elements in kJ per mole of atoms: 21
DOS(E_F) in states/eV per cell: 13.81
Raw total energy in eV/cell: -36.02

=====

Zn8Os | PBE-GGA | relaxed

abc: 8.3858 8.3858 3.7089
angles: 90.00 90.00 90.00
Closest atoms and distances in Å follow each position.
Space group I4/mmm (No. 139)
Asymmetric unit:
Zn: 0.0000 0.3303 0.0000 [8 per cell]  11 Zn 2.70-2.85, 1 Os 2.77
Zn: 0.1644 0.1644 0.5000 [8 per cell]  2 Os 2.69, 10 Zn 2.70-2.81
Os: 0.0000 0.0000 0.0000 [2 per cell]  12 Zn 2.69-2.77

Properties
Crystal system: tetragonal
Energy of formation from the pure elements in kJ per mole of atoms: 9
DOS(E_F) in states/eV per cell: 7.56
Raw total energy in eV/cell: -41.21

=====

Ca2ZnCr | PBE-GGA | relaxed

abc: 3.7155 3.7155 28.5130
angles: 90.00 90.00 120.00
Closest atoms and distances in Å follow each position.
Space group R-3m (No. 166, hexagonal axes)
Asymmetric unit:
Ca: 0.0000 0.0000 0.2454 [6 per cell]  3 Zn 3.11, 3 Cr 3.30
Zn: 0.0000 0.0000 0.5000 [3 per cell]  6 Ca 3.11
Cr: 0.0000 0.0000 0.0000 [3 per cell]  6 Ca 3.30

Properties
Crystal system: trigonal
Energy of formation from the pure elements in kJ per mole of atoms: 43
DOS(E_F) in states/eV per cell: 8.77
Raw total energy in eV/cell: -39.31

=====

Fe2NiPd6 | PBE-GGA | relaxed

abc: 3.9383 11.1123 11.8187
angles: 90.00 90.00 90.00
Closest atoms and distances in Å follow each position.
Space group Fmmm (No. 69)
Asymmetric unit:
Fe: 0.0000 0.0000 0.1576 [8 per cell]  8 Pd 2.58-2.68, 2 Ni 2.71
Ni: 0.0000 0.0000 0.5000 [4 per cell]  8 Pd 2.63-2.66, 4 Fe 2.71
Pd: 0.0000 0.1548 0.3316 [16 per cell]  3 Fe 2.62-2.68, 1 Ni 2.63, 8 Pd 2.76-2.89
Pd: 0.0000 0.1604 0.0000 [8 per cell]  2 Fe 2.58, 2 Ni 2.66, 8 Pd 2.80-2.86

Properties
Crystal system: orthorhombic
Energy of formation from the pure elements in kJ per mole of atoms: -10
DOS(E_F) in states/eV per cell: 22.47
Raw total energy in eV/cell: -219.11

=====

Sr2LiAu2 | PBE-GGA | relaxed

abc: 8.8251 8.8251 3.8279
angles: 90.00 90.00 90.00
Closest atoms and distances in Å follow each position.
Space group P4/mbm (No. 127)
Asymmetric unit:
Sr: 0.1571 0.3429 0.0000 [4 per cell]  6 Au 3.22, 2 Li 3.33
Li: 0.0000 0.0000 0.0000 [2 per cell]  4 Sr 3.33
Au: 0.1355 0.6355 0.5000 [4 per cell]  6 Sr 3.22, 1 Au 3.38

Properties
Crystal system: tetragonal
Energy of formation from the pure elements in kJ per mole of atoms: -43
Relative energy among the computed polymorphs in eV/atom: 0.208
DOS(E_F) in states/eV per cell: 9.63
Raw total energy in eV/cell: -28.07

=====

TbCoB2 | PBE-GGA | relaxed

abc: 3.4606 3.4606 14.0839
angles: 90.00 90.00 120.00
Closest atoms and distances in Å follow each position.
Space group R-3m (No. 166, hexagonal axes)
Asymmetric unit:
Tb: 0.0000 0.0000 0.0000 [3 per cell]  8 B 2.72-2.81
Co: 0.0000 0.0000 0.5000 [3 per cell]  6 B 2.03
B: 0.0000 0.0000 0.1933 [6 per cell]  3 Co 2.03, 3 B 2.13

Properties
Crystal system: trigonal
Energy of formation from the pure elements in kJ per mole of atoms: -35
Relative energy among the computed polymorphs in eV/atom: 0.139
DOS(E_F) in states/eV per cell: 9.73
Raw total energy in eV/cell: -79.58

=====

Cd2SiAg | PBE-GGA | relaxed

abc: 2.8957 5.1147 10.9516
angles: 90.00 90.00 90.00
Closest atoms and distances in Å follow each position.
Space group Imm2 (No. 44)
Asymmetric unit:
Cd: 0.0000 0.0000 0.0000 [2 per cell]  2 Cd 2.90, 4 Si 2.97, 2 Ag 3.10
Cd: 0.0000 0.5000 0.2105 [2 per cell]  2 Cd 2.90, 4 Ag 2.97, 2 Si 3.12
Si: 0.0000 0.0000 0.4581 [2 per cell]  2 Ag 2.70, 2 Si 2.90, 4 Cd 2.97
Ag: 0.0000 0.5000 0.7499 [2 per cell]  2 Si 2.70, 2 Ag 2.90, 4 Cd 2.97

Properties
Crystal system: orthorhombic
DOS(E_F) in states/eV per cell: 2.85
Raw total energy in eV/cell: -18.41

=====

Rh2O3 | PBE-GGA | relaxed

abc: 10.3433 2.7833 8.3238
angles: 90.00 90.00 90.00
Closest atoms and distances in Å follow each position.
Space group Pnma (No. 62)
Asymmetric unit:
Rh: 0.0098 0.2500 0.1668 [4 per cell]  6 O 2.00-2.16
Rh: 0.1252 0.7500 0.5135 [4 per cell]  4 O 1.98-2.12
O: 0.1031 0.7500 0.0391 [4 per cell]  3 Rh 2.00-2.07
O: 0.1116 0.2500 0.7054 [4 per cell]  4 Rh 2.12-2.16
O: 0.1393 0.2500 0.3453 [4 per cell]  3 Rh 1.98-2.00

Properties
Crystal system: orthorhombic
DOS(E_F) in states/eV per cell: 20.26
Raw total energy in eV/cell: -125.95

=====

Y2VPt | PBE-GGA | relaxed

abc: 7.8754 7.8754 6.2398
angles: 90.00 90.00 90.00
Closest atoms and distances in Å follow each position.
Space group I-42d (No. 122)
Asymmetric unit:
Y: 0.2193 0.2500 0.1250 [8 per cell]  2 Pt 2.73
V: 0.0000 0.0000 0.5000 [4 per cell]  4 Y 3.06, 2 Pt 3.12
Pt: 0.0000 0.0000 0.0000 [4 per cell]  4 Y 2.73

Properties
Crystal system: tetragonal
Energy of formation from the pure elements in kJ per mole of atoms: 0
Relative energy among the computed polymorphs in eV/atom: 0.370
DOS(E_F) in states/eV per cell: 16.62
Raw total energy in eV/cell: -112.30

=====

InGa3Ru | PBE-GGA | relaxed

abc: 4.8454 4.8454 4.8454
angles: 90.00 90.00 90.00
Closest atoms and distances in Å follow each position.
Space group Pm-3m (No. 221)
Asymmetric unit:
In: 0.0000 0.0000 0.0000 [1 per cell]  12 Ga 3.43
Ga: 0.0000 0.5000 0.5000 [3 per cell]  2 Ru 2.42
Ru: 0.5000 0.5000 0.5000 [1 per cell]  6 Ga 2.42

Properties
Crystal system: cubic
Energy of formation from the pure elements in kJ per mole of atoms: -5
Relative energy among the computed polymorphs in eV/atom: 0.000
DOS(E_F) in states/eV per cell: 1.57
Raw total energy in eV/cell: -21.37

=====

MnCuPd2 | PBE-GGA | relaxed

abc: 6.8755 6.8755 5.3780
angles: 90.00 90.00 90.00
Closest atoms and distances in Å follow each position.
Space group I-42d (No. 122)
Asymmetric unit:
Mn: 0.0000 0.0000 0.0000 [4 per cell]  4 Pd 2.55, 2 Cu 2.69
Cu: 0.0000 0.0000 0.5000 [4 per cell]  4 Pd 2.50, 2 Mn 2.69
Pd: 0.2450 0.2500 0.6250 [8 per cell]  2 Cu 2.50, 2 Mn 2.55, 2 Pd 2.69

Properties
Crystal system: tetragonal
Energy of formation from the pure elements in kJ per mole of atoms: 17
DOS(E_F) in states/eV per cell: 7.60
Raw total energy in eV/cell: -91.85